Crystalline ZnHg4H2 at its relaxed geometry. Source: Alexandria, functional GGA-PBE.

Lattice parameters (Å, degrees): 6.677 6.677 6.677 131.54 131.54 70.96
Fractional positions:
Zn (0.000, 0.000, 0.000)
Hg (0.000, 0.500, 0.500)
Hg (0.235, 0.235, 0.000)
Hg (0.500, 0.000, 0.500)
Hg (0.765, 0.765, 0.000)
H (0.394, 0.394, 0.000)
H (0.606, 0.606, 0.000)

Summary:
space-group type	No. 139
offset from the most stable computed form	5	meV per atom
size of the total moment	0.0	μB per formula unit
N(E_F)	0.55	states/eV/f.u.
total energy	-1.041	eV per atom

Crystalline Y6OsPd2 at its relaxed geometry. Source: Alexandria, functional GGA-PBE.

Lattice parameters (Å, degrees): 8.355 8.355 8.355 110.65 109.33 108.45
Fractional positions:
Y (0.044, 0.833, 0.211)
Y (0.259, 0.328, 0.586)
Y (0.259, 0.574, 0.315)
Y (0.259, 0.672, 0.931)
Y (0.259, 0.944, 0.685)
Y (0.378, 0.167, 0.211)
Y (0.622, 0.833, 0.789)
Y (0.741, 0.056, 0.315)
Y (0.741, 0.328, 0.069)
Y (0.741, 0.426, 0.685)
Y (0.741, 0.672, 0.414)
Y (0.956, 0.167, 0.789)
Os (0.000, 0.500, 0.500)
Os (0.500, 0.000, 0.500)
Pd (0.000, 0.155, 0.155)
Pd (0.000, 0.845, 0.845)
Pd (0.366, 0.366, 0.000)
Pd (0.634, 0.634, 0.000)

Summary:
space-group type	No. 71
size of the total moment	0.0	μB per formula unit
N(E_F)	7.33	states/eV/f.u.
calculated formation energy	-4.044	eV/f.u.
total energy	-7.160	eV per atom